1.
Material: Cs2ReH
Method: DFT, meta-GGA SCAN
State: single point on PBEsol structure

Cell: 5.773 5.773 5.773 Å, 60.00 60.00 60.00°
Sites, in units of the cell vectors:
Cs: 0.250 0.250 0.250
Re: 0.500 0.500 0.500
Cs: 0.750 0.750 0.750
H: 0.000 0.000 0.000

Calculated values
* E_tot: -35.90 eV/atom

---

2.
Material: ScTaFe2
Method: DFT, meta-GGA SCAN
State: single point on PBEsol structure

Cell: 3.554 3.554 5.167 Å, 110.11 110.11 90.00°
Sites, in units of the cell vectors:
Fe: 0.000 0.000 0.000
Sc: 0.500 0.500 0.000
Fe: 0.750 0.250 0.500
Ta: 0.250 0.750 0.500

Calculated values
* formation energy: 0.19 eV per atom
* E_tot: -29.08 eV/atom
* E above lowest polymorph: 1.38 eV/f.u.

---

3.
Material: Fe2HS
Method: DFT, meta-GGA SCAN
State: single point on PBEsol structure

Cell: 4.309 4.309 5.155 Å, 114.71 114.71 90.00°
Sites, in units of the cell vectors:
Fe: 0.125 0.221 0.750
S: 0.250 0.750 0.500
H: 0.750 0.250 0.500
Fe: 0.471 0.875 0.250
H: 0.500 0.500 0.000
Fe: 0.779 0.375 0.250
S: 0.000 0.000 0.000
Fe: 0.625 0.529 0.750

Calculated values
* E_tot: -12.10 eV/atom